Record 1
# MgAlPCl2

A geometry-optimized MgAlPCl2 structure (PBE-GGA, Alexandria via LeMat-Bulk).

Properties
As for the formation energy without anion corrections: -0.274 eV per atom. The electronic total energy is -0.232 Ry/atom. Its size of the total moment is 0.705 μB/f.u. The space group is P4/mmm (123). Its energy above the most stable polymorph in this dataset is 187.0 meV/atom.

Unit cell a=4.6217 b=4.6217 c=5.6777 alpha=90.00 beta=90.00 gamma=90.00
Positions (direct):
Mg  0.0000  0.0000  0.0000
Al  0.5000  0.5000  0.5000
P  0.0000  0.0000  0.5000
Cl  0.0000  0.5000  0.0000
Cl  0.5000  0.0000  0.0000

---

Record 2
# MgAlP2Cl

A geometry-optimized MgAlP2Cl structure (PBE-GGA, Alexandria via LeMat-Bulk).

Properties
As for the formation energy without anion corrections: 0.457 eV per atom. The electronic total energy is -0.231 Ry/atom. Its size of the total moment is 0.001 μB/f.u. The space group is P4/mmm (123). Its energy above the most stable polymorph in this dataset is 391.8 meV/atom.

Unit cell a=4.9136 b=4.9136 c=4.7498 alpha=90.00 beta=90.00 gamma=90.00
Positions (direct):
Mg  0.0000  0.0000  0.0000
Al  0.5000  0.5000  0.5000
P  0.0000  0.5000  0.0000
P  0.5000  0.0000  0.0000
Cl  0.0000  0.0000  0.5000

---

Record 3
# Mg2AlPdCl

A geometry-optimized Mg2AlPdCl structure (PBE-GGA, Alexandria via LeMat-Bulk).

Properties
As for the formation energy without anion corrections: 0.025 eV per atom. The electronic total energy is -0.204 Ry/atom. Its size of the total moment is 0.000 μB/f.u. The space group is P4/mmm (123).

Unit cell a=5.3737 b=5.3737 c=4.4975 alpha=90.00 beta=90.00 gamma=90.00
Positions (direct):
Mg  0.0000  0.5000  0.0000
Mg  0.5000  0.0000  0.0000
Al  0.0000  0.0000  0.0000
Pd  0.0000  0.0000  0.5000
Cl  0.5000  0.5000  0.5000

---

Record 4
# MgAlSCl2

A geometry-optimized MgAlSCl2 structure (PBE-GGA, Alexandria via LeMat-Bulk).

Properties
As for the formation energy without anion corrections: -0.653 eV per atom. The electronic total energy is -0.241 Ry/atom. Its size of the total moment is 0.000 μB/f.u. The space group is P4/mmm (123). Its energy above the most stable polymorph in this dataset is 107.3 meV/atom.

Unit cell a=4.7012 b=4.7012 c=5.2908 alpha=90.00 beta=90.00 gamma=90.00
Positions (direct):
Mg  0.0000  0.0000  0.0000
Al  0.5000  0.5000  0.5000
S  0.0000  0.0000  0.5000
Cl  0.0000  0.5000  0.0000
Cl  0.5000  0.0000  0.0000

---

Record 5
# MgAlSCl2

A geometry-optimized MgAlSCl2 structure (PBE-GGA, Alexandria via LeMat-Bulk).

Properties
As for the formation energy without anion corrections: -0.760 eV per atom. The electronic total energy is -0.249 Ry/atom. Its size of the total moment is 0.000 μB/f.u. The space group is P4/mmm (123). Its energy above the most stable polymorph in this dataset is 0.0 meV/atom.

Unit cell a=4.7100 b=4.7100 c=4.7607 alpha=90.00 beta=90.00 gamma=90.00
Positions (direct):
Mg  0.0000  0.0000  0.0000
Al  0.5000  0.5000  0.5000
S  0.5000  0.5000  0.0000
Cl  0.0000  0.5000  0.5000
Cl  0.5000  0.0000  0.5000

---

Record 6
# SrMg2AlCl

A geometry-optimized SrMg2AlCl structure (PBE-GGA, Alexandria via LeMat-Bulk).

Properties
As for the formation energy without anion corrections: -0.128 eV per atom. The electronic total energy is -0.163 Ry/atom. Its size of the total moment is 0.000 μB/f.u. The space group is P4/mmm (123).

Unit cell a=5.1360 b=5.1360 c=5.4944 alpha=90.00 beta=90.00 gamma=90.00
Positions (direct):
Sr  0.0000  0.0000  0.0000
Mg  0.0000  0.5000  0.5000
Mg  0.5000  0.0000  0.5000
Al  0.5000  0.5000  0.0000
Cl  0.0000  0.0000  0.5000